# 1
{"formula": "GaBiRu2W", "functional": "PBE-GGA", "state": "optimized geometry", "formation_enthalpy_0k_ev_per_atom": 1.739, "vol_a3_per_fu": 105, "sg": "No. 123", "cell": [[4.5705, 0.0000, 0.0000], [0.0000, 5.0233, 0.0000], [0.0000, 0.0000, 4.5705]], "species": ["Ru", "Ru", "Ga", "Bi", "W"], "fractional_positions": [[0.0000, 0.0000, 0.5000], [0.5000, 0.0000, 0.0000], [0.0000, 0.0000, 0.0000], [0.0000, 0.5000, 0.0000], [0.5000, 0.5000, 0.5000]]}



# 2
{"formula": "Ga2Bi2S", "functional": "PBE-GGA", "state": "optimized geometry", "e_form_raw_ev_per_atom": 0.077, "vol_a3_per_fu": 121, "relative_energy_ev_per_atom": 0.0783, "sg": "No. 139", "cell": [[-0.7960, 2.8817, 2.4680], [-3.4323, 0.5279, -1.7234], [-5.4725, -3.5679, 5.4457]], "species": ["S", "Bi", "Bi", "Ga", "Ga"], "fractional_positions": [[0.0000, 0.0000, 0.0000], [0.3938, 0.3938, 0.2124], [0.6062, 0.6062, 0.7876], [0.7500, 0.2500, 0.5000], [0.2500, 0.7500, 0.5000]]}